w | The following is a DFT calculation (PBE) of a geometry-optimized K2LaNi structure.

Lattice parameters (Å, degrees): 3.7677 4.1092 21.7241 90.00 90.00 90.00
Space group Immm (No. 71)
Inequivalent atoms, fractional coordinates:
K (0.0000, 0.0000, 0.1571) x4
La (0.0000, 0.5000, 0.0000) x2
Ni (0.0000, 0.5000, 0.5000) x2

Properties
V	336	Å³/cell


x | The following is a DFT calculation (PBE) of a geometry-optimized K2LaNi structure.

Lattice parameters (Å, degrees): 3.8636 6.7131 13.2318 90.00 90.00 90.00
Space group Imm2 (No. 44)
Inequivalent atoms, fractional coordinates:
K (0.0000, 0.0000, 0.0000) x2
K (0.0000, 0.5000, 0.1668) x2
La (0.0000, 0.5000, 0.8299) x2
Ni (0.0000, 0.0000, 0.4566) x2

Properties
V	343	Å³/cell


Most stable: w (next structure +202 meV/atom)


w | The following is a DFT calculation (PBE) of a geometry-optimized K2LaNi structure.

Lattice parameters (Å, degrees): 3.9091 3.9091 11.0070 90.00 90.00 90.00
Space group P4mm (No. 99)
Inequivalent atoms, fractional coordinates:
K (0.0000, 0.0000, 0.0000) x1
K (0.5000, 0.5000, 0.3653) x1
La (0.0000, 0.0000, 0.6705) x1
Ni (0.5000, 0.5000, 0.6988) x1

Properties
V	168	Å³/cell


x | The following is a DFT calculation (PBE) of a geometry-optimized K2LaNi structure.

Lattice parameters (Å, degrees): 4.9343 4.9460 11.9945 90.00 90.00 90.00
Space group Cmmm (No. 65)
Inequivalent atoms, fractional coordinates:
K (0.0000, 0.0000, 0.1800) x4
La (0.0000, 0.5000, 0.5000) x2
Ni (0.0000, 0.5000, 0.0000) x2

Properties
V	293	Å³/cell


Most stable: w (next structure +616 meV/atom)


w | The following is a DFT calculation (PBE) of a geometry-optimized KLaNi3 structure.

Lattice parameters (Å, degrees): 5.0809 5.0809 5.0809 90.00 90.00 90.00
Space group Pm-3m (No. 221)
Inequivalent atoms, fractional coordinates:
K (0.0000, 0.0000, 0.0000) x1
La (0.5000, 0.5000, 0.5000) x1
Ni (0.0000, 0.5000, 0.5000) x3

Properties
V	131	Å³/cell


x | The following is a DFT calculation (PBE) of a geometry-optimized KLaNi3 structure.

Lattice parameters (Å, degrees): 4.7856 4.7856 4.7856 90.00 90.00 90.00
Space group Pm-3m (No. 221)
Inequivalent atoms, fractional coordinates:
K (0.0000, 0.0000, 0.0000) x1
La (0.5000, 0.5000, 0.5000) x1
Ni (0.0000, 0.0000, 0.5000) x3

Properties
V	110	Å³/cell


Most stable: w (next structure +302 meV/atom)


w | The following is a DFT calculation (PBE) of a geometry-optimized KLaNi structure.

Lattice parameters (Å, degrees): 5.1776 5.1906 14.9795 90.00 90.00 90.00
Space group Fmm2 (No. 42)
Inequivalent atoms, fractional coordinates:
K (0.0000, 0.0000, 0.0000) x4
La (0.0000, 0.0000, 0.7537) x4
Ni (0.0000, 0.0000, 0.3325) x4

Properties
V	403	Å³/cell


x | The following is a DFT calculation (PBE) of a geometry-optimized KLaNi structure.

Lattice parameters (Å, degrees): 4.0523 4.0523 7.6865 90.00 90.00 120.00
Space group P3m1 (No. 156)
Inequivalent atoms, fractional coordinates:
K (0.0000, 0.0000, 0.0000) x1
La (0.6667, 0.3333, 0.5132) x1
Ni (0.3333, 0.6667, 0.6919) x1

Properties
V	109	Å³/cell


Most stable: w (next structure +33 meV/atom)


w | The following is a DFT calculation (PBE) of a geometry-optimized KLaO structure.

Lattice parameters (Å, degrees): 4.0270 4.0270 8.0920 90.00 90.00 120.00
Space group P3m1 (No. 156)
Inequivalent atoms, fractional coordinates:
K (0.0000, 0.0000, 0.0000) x1
La (0.6667, 0.3333, 0.4918) x1
O (0.3333, 0.6667, 0.5029) x1

Properties
V	114	Å³/cell


x | The following is a DFT calculation (PBE) of a geometry-optimized KLaO structure.

Lattice parameters (Å, degrees): 4.8218 4.8218 9.7569 90.00 90.00 90.00
Space group P4/nmm (No. 129, origin choice 2)
Inequivalent atoms, fractional coordinates:
K (0.2500, 0.2500, 0.1461) x2
La (0.2500, 0.7500, 0.5000) x2
O (0.2500, 0.2500, 0.4524) x2

Properties
V	227	Å³/cell


Most stable: x (next structure +5 meV/atom)


w | The following is a DFT calculation (PBE) of a geometry-optimized KLaP4O12 structure.

Lattice parameters (Å, degrees): 7.9994 11.9889 13.5186 90.00 90.00 90.00
Space group Cmc2_1 (No. 36)
Inequivalent atoms, fractional coordinates:
K (0.0000, 0.1450, 0.0000) x4
La (0.0000, 0.4253, 0.3992) x4
P (0.1827, 0.1521, 0.4916) x8
P (0.1847, 0.0524, 0.6888) x8
O (0.0000, 0.0739, 0.7363) x4
O (0.0000, 0.0964, 0.4703) x4
O (0.1837, 0.2713, 0.4562) x8
O (0.1909, 0.4266, 0.9490) x8
O (0.1953, 0.1573, 0.6098) x8
O (0.1956, 0.4168, 0.2703) x8
O (0.1985, 0.0554, 0.1359) x8

Properties
V	1296	Å³/cell


x | The following is a DFT calculation (PBE) of a geometry-optimized KLaP4O12 structure.

Lattice parameters (Å, degrees): 7.4498 8.6909 8.1853 90.00 91.84 90.00
Space group P2_1 (No. 4)
Inequivalent atoms, fractional coordinates:
K (0.2312, 0.0000, 0.2831) x2
La (0.2636, 0.6829, 0.7587) x2
P (0.0694, 0.0592, 0.9022) x2
P (0.1198, 0.4341, 0.3933) x2
P (0.3992, 0.2579, 0.8917) x2
P (0.4984, 0.5341, 0.3821) x2
O (0.0374, 0.2817, 0.3498) x2
O (0.0437, 0.5655, 0.2688) x2
O (0.0542, 0.5940, 0.9610) x2
O (0.1065, 0.4948, 0.5639) x2
O (0.1833, 0.9181, 0.9252) x2
O (0.1912, 0.2094, 0.8697) x2
O (0.3274, 0.4250, 0.3432) x2
O (0.3376, 0.9335, 0.6136) x2
O (0.4139, 0.4169, 0.8229) x2
O (0.4652, 0.2259, 0.0640) x2
O (0.4693, 0.6308, 0.5312) x2
O (0.4902, 0.6402, 0.2213) x2

Properties
V	530	Å³/cell


Most stable: x (next structure +36 meV/atom)


w | The following is a DFT calculation (PBE) of a geometry-optimized KLaPO2 structure.

Lattice parameters (Å, degrees): 4.6367 4.6367 6.0905 90.00 90.00 90.00
Space group P4/mmm (No. 123)
Inequivalent atoms, fractional coordinates:
K (0.0000, 0.0000, 0.0000) x1
La (0.5000, 0.5000, 0.5000) x1
P (0.5000, 0.5000, 0.0000) x1
O (0.0000, 0.5000, 0.5000) x2

Properties
V	131	Å³/cell


x | The following is a DFT calculation (PBE) of a geometry-optimized KLaPO2 structure.

Lattice parameters (Å, degrees): 4.5423 4.5423 5.0028 90.00 90.00 90.00
Space group P4/mmm (No. 123)
Inequivalent atoms, fractional coordinates:
K (0.0000, 0.0000, 0.0000) x1
La (0.5000, 0.5000, 0.5000) x1
P (0.0000, 0.0000, 0.5000) x1
O (0.0000, 0.5000, 0.0000) x2

Properties
V	103	Å³/cell


Most stable: w (next structure +949 meV/atom)


w | The following is a DFT calculation (PBE) of a geometry-optimized K2LaOs structure.

Lattice parameters (Å, degrees): 3.7641 6.2602 14.3034 90.00 90.00 90.00
Space group Imm2 (No. 44)
Inequivalent atoms, fractional coordinates:
K (0.0000, 0.0000, 0.0000) x2
K (0.0000, 0.5000, 0.1644) x2
La (0.0000, 0.5000, 0.8437) x2
Os (0.0000, 0.0000, 0.4622) x2

Properties
V	337	Å³/cell


x | The following is a DFT calculation (PBE) of a geometry-optimized K2LaOs structure.

Lattice parameters (Å, degrees): 3.8378 3.8378 10.6862 90.00 90.00 90.00
Space group P4mm (No. 99)
Inequivalent atoms, fractional coordinates:
K (0.0000, 0.0000, 0.0000) x1
K (0.5000, 0.5000, 0.3757) x1
La (0.0000, 0.0000, 0.6794) x1
Os (0.5000, 0.5000, 0.7610) x1

Properties
V	157	Å³/cell


y | The following is a DFT calculation (PBE) of a geometry-optimized K2LaOs structure.

Lattice parameters (Å, degrees): 4.3135 4.3135 26.2167 90.00 90.00 90.00
Space group I-42d (No. 122)
Inequivalent atoms, fractional coordinates:
K (0.2380, 0.2500, 0.1250) x8
La (0.0000, 0.0000, 0.5000) x4
Os (0.0000, 0.0000, 0.0000) x4

Properties
V	488	Å³/cell


z | The following is a DFT calculation (PBE) of a geometry-optimized K2LaOs structure.

Lattice parameters (Å, degrees): 4.3427 4.3533 6.2836 90.00 90.00 90.00
Space group Pmmm (No. 47)
Inequivalent atoms, fractional coordinates:
K (0.0000, 0.0000, 0.0000) x1
K (0.5000, 0.5000, 0.0000) x1
La (0.0000, 0.5000, 0.5000) x1
Os (0.5000, 0.0000, 0.5000) x1

Properties
V	119	Å³/cell


Most stable: x (next structure +144 meV/atom)


w | The following is a DFT calculation (PBE) of a geometry-optimized K2LaOs structure.

Lattice parameters (Å, degrees): 3.1292 3.1292 39.6132 90.00 90.00 120.00
Space group R-3m (No. 166, hexagonal axes)
Inequivalent atoms, fractional coordinates:
K (0.0000, 0.0000, 0.2353) x6
La (0.0000, 0.0000, 0.0000) x3
Os (0.0000, 0.0000, 0.5000) x3

Properties
V	336	Å³/cell


x | The following is a DFT calculation (PBE) of a geometry-optimized K2LaOs structure.

Lattice parameters (Å, degrees): 7.6947 7.6947 7.6947 90.00 90.00 90.00
Space group Fm-3m (No. 225)
Inequivalent atoms, fractional coordinates:
K (0.2500, 0.2500, 0.2500) x8
La (0.0000, 0.0000, 0.0000) x4
Os (0.0000, 0.0000, 0.5000) x4

Properties
V	456	Å³/cell


y | The following is a DFT calculation (PBE) of a geometry-optimized K2LaOs structure.

Lattice parameters (Å, degrees): 7.5986 7.5986 7.5986 90.00 90.00 90.00
Space group F-43m (No. 216)
Inequivalent atoms, fractional coordinates:
K (0.0000, 0.0000, 0.0000) x4
K (0.2500, 0.2500, 0.2500) x4
La (0.2500, 0.2500, 0.7500) x4
Os (0.0000, 0.0000, 0.5000) x4

Properties
V	439	Å³/cell


z | The following is a DFT calculation (PBE) of a geometry-optimized K2LaOs structure.

Lattice parameters (Å, degrees): 4.9532 4.9532 5.6037 90.00 90.00 90.00
Space group P4/mmm (No. 123)
Inequivalent atoms, fractional coordinates:
K (0.0000, 0.0000, 0.2371) x2
La (0.5000, 0.5000, 0.5000) x1
Os (0.5000, 0.5000, 0.0000) x1

Properties
V	137	Å³/cell


Most stable: y (next structure +259 meV/atom)


w | The following is a DFT calculation (PBE) of a geometry-optimized KLaOs2 structure.

Lattice parameters (Å, degrees): 3.0928 4.9743 11.4237 90.00 90.00 90.00
Space group Cmm2 (No. 35)
Inequivalent atoms, fractional coordinates:
K (0.0000, 0.0000, 0.0000) x2
La (0.0000, 0.5000, 0.6500) x2
Os (0.0000, 0.0000, 0.4300) x2
Os (0.0000, 0.5000, 0.2480) x2

Properties
V	176	Å³/cell


x | The following is a DFT calculation (PBE) of a geometry-optimized KLaOs2 structure.

Lattice parameters (Å, degrees): 2.8809 2.8809 10.3166 90.00 90.00 90.00
Space group P4/mmm (No. 123)
Inequivalent atoms, fractional coordinates:
K (0.0000, 0.0000, 0.0000) x1
La (0.0000, 0.0000, 0.5000) x1
Os (0.5000, 0.5000, 0.2681) x2

Properties
V	86	Å³/cell


Most stable: w (next structure +50 meV/atom)


w | The following is a DFT calculation (PBE) of a geometry-optimized KLa2Os structure.

Lattice parameters (Å, degrees): 7.4137 4.2798 10.7452 90.00 103.19 90.00
Space group C2/m (No. 12)
Inequivalent atoms, fractional coordinates:
K (0.0000, 0.0000, 0.0000) x2
La (0.2126, 0.0000, 0.6382) x4
Os (0.0000, 0.5000, 0.5000) x2

Properties
V	332	Å³/cell


x | The following is a DFT calculation (PBE) of a geometry-optimized KLa2Os structure.

Lattice parameters (Å, degrees): 7.5530 7.5530 7.5530 90.00 90.00 90.00
Space group Fm-3m (No. 225)
Inequivalent atoms, fractional coordinates:
K (0.0000, 0.0000, 0.0000) x4
La (0.2500, 0.2500, 0.2500) x8
Os (0.0000, 0.0000, 0.5000) x4

Properties
V	431	Å³/cell


Most stable: w (next structure +503 meV/atom)